Record 1
# Zn2PbBr

A geometry-optimized Zn2PbBr structure (PBEsol, Alexandria).

Relative energy among the computed polymorphs in kJ per mole of atoms: 3.6
Total DFT energy (no corrections) in eV/atom: -2.229
Energy relative to the elements, uncorrected in eV per formula unit: 0.12
V in Å³ per atom: 22.3

Cell and atoms, written as CIF:
```
data_Zn2PbBr
_chemical_formula_sum 'Zn4 Pb2 Br2'
_symmetry_space_group_name_H-M 'C 1 m 1'
_symmetry_Int_Tables_number 8
_symmetry_space_group_name_Hall 'C -2y'
_cell_length_a 11.0962
_cell_length_b 3.3543
_cell_length_c 5.5203
_cell_angle_alpha 90.00
_cell_angle_beta 119.83
_cell_angle_gamma 90.00
loop_
_atom_site_label
_atom_site_type_symbol
_atom_site_fract_x
_atom_site_fract_y
_atom_site_fract_z
_atom_site_occupancy
Zn1 Zn 0.0000 0.0000 0.0000 1
Zn2 Zn 0.2000 0.5000 0.1968 1
Pb1 Pb 0.4642 0.0000 0.4638 1
Br1 Br 0.2757 0.0000 0.7750 1
```

Record 2
# Be3TlIr

A geometry-optimized Be3TlIr structure (PBEsol, Alexandria).

Total DFT energy (no corrections) in eV/atom: -3.248
ΔE_f in kcal/mol of atoms: 37.88
V in Å³ per atom: 16.0

Cell and atoms, written as CIF:
```
data_Be3TlIr
_chemical_formula_sum 'Be3 Tl1 Ir1'
_symmetry_space_group_name_H-M 'P m -3 m'
_symmetry_Int_Tables_number 221
_symmetry_space_group_name_Hall '-P 4 2 3'
_cell_length_a 4.3056
_cell_length_b 4.3056
_cell_length_c 4.3056
_cell_angle_alpha 90.00
_cell_angle_beta 90.00
_cell_angle_gamma 90.00
loop_
_atom_site_label
_atom_site_type_symbol
_atom_site_fract_x
_atom_site_fract_y
_atom_site_fract_z
_atom_site_occupancy
Be1 Be 0.0000 0.0000 0.5000 1
Tl1 Tl 0.0000 0.0000 0.0000 1
Ir1 Ir 0.5000 0.5000 0.5000 1
```

Record 3
# TlMoP2

A geometry-optimized TlMoP2 structure (PBEsol, Alexandria).

Relative energy among the computed polymorphs in kJ per mole of atoms: 17.0
Total DFT energy (no corrections) in eV/atom: -6.193
ΔE_f in kcal/mol of atoms: 6.96
V in Å³ per atom: 16.8

Cell and atoms, written as CIF:
```
data_TlMoP2
_chemical_formula_sum 'Tl3 Mo3 P6'
_symmetry_space_group_name_H-M 'R 3 m'
_symmetry_Int_Tables_number 160
_symmetry_space_group_name_Hall 'R 3 -2"'
_cell_length_a 3.1914
_cell_length_b 3.1914
_cell_length_c 22.7981
_cell_angle_alpha 90.00
_cell_angle_beta 90.00
_cell_angle_gamma 120.00
loop_
_atom_site_label
_atom_site_type_symbol
_atom_site_fract_x
_atom_site_fract_y
_atom_site_fract_z
_atom_site_occupancy
Tl1 Tl 0.0000 0.0000 0.0000 1
Mo1 Mo 0.0000 0.0000 0.7671 1
P1 P 0.0000 0.0000 0.2359 1
P2 P 0.0000 0.0000 0.5045 1
```

Record 4
# BaSr2

A geometry-optimized BaSr2 structure (PBEsol, Alexandria).

Relative energy among the computed polymorphs in kJ per mole of atoms: 0.7
Total DFT energy (no corrections) in eV/atom: -1.933
ΔE_f in kcal/mol of atoms: 0.24
V in Å³ per atom: 54.4

Cell and atoms, written as CIF:
```
data_BaSr2
_chemical_formula_sum 'Ba4 Sr8'
_symmetry_space_group_name_H-M 'P n m a'
_symmetry_Int_Tables_number 62
_symmetry_space_group_name_Hall '-P 2ac 2n'
_cell_length_a 8.4704
_cell_length_b 6.0768
_cell_length_c 12.6940
_cell_angle_alpha 90.00
_cell_angle_beta 90.00
_cell_angle_gamma 90.00
loop_
_atom_site_label
_atom_site_type_symbol
_atom_site_fract_x
_atom_site_fract_y
_atom_site_fract_z
_atom_site_occupancy
Ba1 Ba 0.1277 0.2500 0.0839 1
Sr1 Sr 0.1227 0.2500 0.7480 1
Sr2 Sr 0.1250 0.2500 0.4161 1
```